DFT (GGA-PBE) results for a geometry-optimized ReTeP2O structure.

```
ReTeP2O
1.0
4.9921 0.0000 0.0000
0.0000 4.9921 0.0000
0.0000 0.0000 3.8541
Re Te P O
1 1 2 1
direct
0.0000 0.0000 0.0000
0.5000 0.5000 0.5000
0.0000 0.5000 0.5000
0.5000 0.0000 0.5000
0.5000 0.5000 0.0000
```

space-group type	No. 123
E	-5.0376	eV/atom
size of the total moment	2.9	μB per cell

DFT (GGA-PBE) results for a geometry-optimized Pm2Nd2HoTm structure.

```
Pm2Nd2HoTm
1.0
7.0688 0.0000 0.0000
0.0000 5.6967 0.0000
0.0000 0.0000 9.8709
Pm Nd Ho Tm
4 4 2 2
direct
0.2500 0.0000 0.1630
0.2500 0.5000 0.6687
0.7500 0.0000 0.8370
0.7500 0.5000 0.3313
0.0000 0.5000 0.0000
0.2500 0.0000 0.8219
0.5000 0.5000 0.0000
0.7500 0.0000 0.1781
0.2500 0.5000 0.3420
0.7500 0.5000 0.6580
0.0000 0.0000 0.5000
0.5000 0.0000 0.5000
```

DFT formation energy	0.36	eV per formula unit
space-group type	No. 51
size of the total moment	0.0	μB per cell

DFT (GGA-PBE) results for a geometry-optimized Ba8AgSn2 structure.

```
Ba8AgSn2
1.0
11.0458 -2.9211 0.0000
11.0458 2.9211 0.0000
-2.0228 0.0000 7.9094
Ba Ag Sn
8 1 2
direct
0.0339 0.0339 0.2930
0.2104 0.2104 0.8082
0.3401 0.3401 0.5399
0.4057 0.4057 0.0607
0.5943 0.5943 0.9393
0.6599 0.6599 0.4601
0.7896 0.7896 0.1918
0.9661 0.9661 0.7070
0.5000 0.5000 0.5000
0.1907 0.1907 0.2252
0.8093 0.8093 0.7748
```

DFT formation energy	-3.66	eV per formula unit
space-group type	No. 12
size of the total moment	0.0	μB per cell

DFT (GGA-PBE) results for a geometry-optimized CrFeCo6 structure.

```
CrFeCo6
1.0
5.0122 0.0000 0.0000
-2.5061 4.3407 0.0000
0.0000 0.0000 4.0168
Cr Fe Co
1 1 6
direct
0.0000 0.0000 0.0000
0.6667 0.3333 0.5000
0.0007 0.5003 0.0000
0.1676 0.3352 0.5000
0.1676 0.8324 0.5000
0.4997 0.5003 0.0000
0.4997 0.9993 0.0000
0.6648 0.8324 0.5000
```

DFT formation energy	0.23	eV per formula unit
space-group type	No. 187
size of the total moment	7.8	μB per cell

DFT (GGA-PBE) results for a geometry-optimized LaIn3N structure.

```
LaIn3N
1.0
6.2784 0.0000 0.0000
0.0000 6.2784 0.0000
0.0000 0.0000 6.2784
La In N
1 3 1
direct
0.0000 0.0000 0.0000
0.0000 0.0000 0.5000
0.0000 0.5000 0.0000
0.5000 0.0000 0.0000
0.5000 0.5000 0.5000
```

space-group type	No. 221
E	-2.6782	eV/atom
size of the total moment	1.2	μB per cell

DFT (GGA-PBE) results for a geometry-optimized Cd2AsP structure.

```
Cd2AsP
1.0
3.9087 0.0000 0.0000
0.0000 3.9087 0.0000
0.0000 0.0000 5.4742
Cd As P
2 1 1
direct
0.0000 0.0000 0.2477
0.0000 0.0000 0.7523
0.5000 0.5000 0.5000
0.5000 0.5000 0.0000
```

DFT formation energy	1.17	eV per formula unit
space-group type	No. 123
size of the total moment	0.0	μB per cell

DFT (GGA-PBE) results for a geometry-optimized Pu3Cu2Pd4 structure.

```
Pu3Cu2Pd4
1.0
4.6556 -1.8660 0.0000
4.6556 1.8660 0.0000
-2.5744 0.0000 8.7806
Pu Cu Pd
3 2 4
direct
0.0000 0.0000 0.0000
0.3632 0.3632 0.1224
0.6368 0.6368 0.8776
0.3322 0.3322 0.4554
0.6678 0.6678 0.5446
0.0147 0.0147 0.3569
0.3036 0.3036 0.7459
0.6964 0.6964 0.2541
0.9853 0.9853 0.6431
```

DFT formation energy	-1.44	eV per formula unit
space-group type	No. 12
size of the total moment	5.0	μB per cell